No. 1
The following is a GGA-PBE calculation of an optimized crystal structure of Zr3MnHg, from Alexandria via LeMat-Bulk.

```
data_Zr3MnHg
_cell_length_a 4.8293
_cell_length_b 4.8293
_cell_length_c 4.8293
_cell_angle_alpha 90.00
_cell_angle_beta 90.00
_cell_angle_gamma 90.00
_symmetry_space_group_name_H-M 'P m -3 m'
_symmetry_Int_Tables_number 221
_symmetry_space_group_name_Hall '-P 4 2 3'
loop_
_atom_site_label
_atom_site_fract_x
_atom_site_fract_y
_atom_site_fract_z
Zr1 0.0000 0.0000 0.5000
Mn1 0.0000 0.0000 0.0000
Hg1 0.5000 0.5000 0.5000
```

Properties
* density: 7802 kg/m³
* magnetization: 0.00 Bohr magnetons per cell
* energy relative to the lowest polymorph listed for this composition: 0.0 meV per atom
* formation energy from the elements: 0.27 eV per atom

=====

No. 2
The following is a GGA-PBE calculation of an optimized crystal structure of ZrMn2Hg, from Alexandria via LeMat-Bulk.

```
data_ZrMn2Hg
_cell_length_a 7.3486
_cell_length_b 7.3486
_cell_length_c 5.7493
_cell_angle_alpha 90.00
_cell_angle_beta 90.00
_cell_angle_gamma 90.00
_symmetry_space_group_name_H-M 'I -4 2 d'
_symmetry_Int_Tables_number 122
_symmetry_space_group_name_Hall 'I -4 2bw'
loop_
_atom_site_label
_atom_site_fract_x
_atom_site_fract_y
_atom_site_fract_z
Zr1 0.0000 0.0000 0.0000
Mn1 0.2450 0.2500 0.6250
Hg1 0.0000 0.0000 0.5000
```

Properties
* density: 8594 kg/m³
* magnetization: 23.42 Bohr magnetons per cell
* formation energy from the elements: 0.55 eV per atom

=====

No. 3
The following is a GGA-PBE calculation of an optimized crystal structure of ZrMn2Hg, from Alexandria via LeMat-Bulk.

```
data_ZrMn2Hg
_cell_length_a 3.9697
_cell_length_b 3.9697
_cell_length_c 8.8285
_cell_angle_alpha 90.00
_cell_angle_beta 90.00
_cell_angle_gamma 90.00
_symmetry_space_group_name_H-M 'I -4 m 2'
_symmetry_Int_Tables_number 119
_symmetry_space_group_name_Hall 'I -4 -2'
loop_
_atom_site_label
_atom_site_fract_x
_atom_site_fract_y
_atom_site_fract_z
Zr1 0.0000 0.0000 0.0000
Mn1 0.0000 0.0000 0.5000
Mn2 0.0000 0.5000 0.7500
Hg1 0.0000 0.5000 0.2500
```

Properties
* density: 9589 kg/m³
* magnetization: 10.62 Bohr magnetons per cell
* formation energy from the elements: 0.12 eV per atom

=====

No. 4
The following is a GGA-PBE calculation of an optimized crystal structure of ZrMn2Hg, from Alexandria via LeMat-Bulk.

```
data_ZrMn2Hg
_cell_length_a 3.0828
_cell_length_b 3.1063
_cell_length_c 7.2517
_cell_angle_alpha 90.00
_cell_angle_beta 90.00
_cell_angle_gamma 90.00
_symmetry_space_group_name_H-M 'P m m 2'
_symmetry_Int_Tables_number 25
loop_
_symmetry_equiv_pos_as_xyz
'x,y,z'
'-x,-y,z'
'-x,y,z'
'x,-y,z'
loop_
_atom_site_label
_atom_site_fract_x
_atom_site_fract_y
_atom_site_fract_z
Zr1 0.0000 0.0000 0.0000
Mn1 0.0000 0.0000 0.4287
Mn2 0.5000 0.5000 0.2653
Hg1 0.5000 0.5000 0.6890
```

Properties
* density: 9605 kg/m³
* magnetization: 0.77 Bohr magnetons per cell
* formation energy from the elements: 0.06 eV per atom